No. 1
Here is a relaxed YInGe crystal from Alexandria via LeMat-Bulk. Energies are from GGA-PBE.

Values from the calculation:
Final energy (eV per cell): -15.19
SG: P3m1, No. 156
Crystal system: trigonal
DOS(E_F) (states/eV/cell): 0.432

Cell: 4.6551 4.3205 4.3205 Å, 120.00 90.00 90.00°
Last column: nearest neighbours and their distance in Å.
Atoms (fractional coordinates):
Y1 0.7019 0.3333 0.6667  3 Ge 2.92, 3 In 3.20
Ge1 0.0268 0.0000 0.0000  3 In 2.74, 3 Y 2.92
In1 0.2713 0.6667 0.3333  3 Ge 2.74

---

No. 2
Here is a relaxed KCa2Te crystal from Alexandria via LeMat-Bulk. Energies are from GGA-PBE.

Values from the calculation:
Final energy (eV per cell): -10.46
SG: Imm2, No. 44
Crystal system: orthorhombic
Raw formation energy (eV/atom): -0.554
DOS(E_F) (states/eV/cell): 3.048

Cell: 9.7175 9.7175 9.7175 Å, 155.31 152.19 37.52°
Last column: nearest neighbours and their distance in Å.
Atoms (fractional coordinates):
Ca1 0.0873 0.0873 0.0000  2 Te 3.44, 2 Ca 3.74
Ca2 0.7462 0.2462 0.5000  4 Te 3.13
K1 0.4304 0.4304 0.0000  6 Ca 4.12-4.25, 2 Te 4.14, 2 K 4.16
Te1 0.2360 0.7360 0.5000  6 Ca 3.13-3.44

---

No. 3
Here is a relaxed CuGeBi2C crystal from Alexandria via LeMat-Bulk. Energies are from GGA-PBE.

Values from the calculation:
Final energy (eV per cell): -19.45
SG: P4/mmm, No. 123
Crystal system: tetragonal
DOS(E_F) (states/eV/cell): 2.941

Cell: 5.7217 3.6029 5.7217 Å, 90.00 90.00 90.00°
Last column: nearest neighbours and their distance in Å.
Atoms (fractional coordinates):
C1 0.0000 0.5000 0.0000  2 Ge 1.80
Ge1 0.0000 0.0000 0.0000  2 C 1.80
Bi1 0.0000 0.0000 0.5000  2 Ge 2.86
Bi2 0.5000 0.0000 0.0000  2 Ge 2.86
Cu1 0.5000 0.5000 0.5000  8 Bi 3.38, 2 Cu 3.60

---

No. 4
Here is a relaxed BaMg3Pb3 crystal from Alexandria via LeMat-Bulk. Energies are from GGA-PBE.

Values from the calculation:
Distance to the lowest polymorph of the same formula (kcal/mol of atoms): 0.000
Final energy (eV per cell): -37.76
SG: R-3, No. 148
Crystal system: trigonal
DOS(E_F) (states/eV/cell): 6.887

Cell: 7.4105 7.4105 10.3223 Å, 68.96 68.96 60.00°
Last column: nearest neighbours and their distance in Å.
Atoms (fractional coordinates):
Ba1 0.3133 0.3133 0.0601  6 Pb 3.61-3.74, 3 Mg 3.82
Ba2 0.6867 0.6867 0.9399  6 Pb 3.61-3.74, 3 Mg 3.82
Mg1 0.5854 0.7618 0.5822  4 Pb 3.00-3.35, 5 Mg 3.08-3.15
Mg2 0.7618 0.0706 0.5822  4 Pb 3.00-3.35, 5 Mg 3.08-3.15
Mg3 0.0706 0.5854 0.5822  4 Pb 3.00-3.35, 5 Mg 3.08-3.15
Mg4 0.9294 0.4146 0.4178  4 Pb 3.00-3.35, 5 Mg 3.08-3.15
Mg5 0.2382 0.9294 0.4178  4 Pb 3.00-3.35, 5 Mg 3.08-3.15
Mg6 0.4146 0.2382 0.4178  4 Pb 3.00-3.35, 5 Mg 3.08-3.15
Pb1 0.2159 0.6986 0.2420  4 Mg 3.00-3.35
Pb2 0.8436 0.2159 0.2420  4 Mg 3.00-3.35
Pb3 0.6986 0.8436 0.2420  4 Mg 3.00-3.35
Pb4 0.3014 0.1564 0.7580  4 Mg 3.00-3.35
Pb5 0.1564 0.7841 0.7580  4 Mg 3.00-3.35
Pb6 0.7841 0.3014 0.7580  4 Mg 3.00-3.35